Entry from the Open Quantum Materials Database: a geometry-optimized Dy3Y2Er2Ni2Te2 structure (GGA-PBE).

Unit cell a=9.349 b=9.349 c=9.349 alpha=156.26 beta=66.94 gamma=118.44
Fractional positions:
Dy  0.000  0.000  0.000
Dy  0.287  0.418  0.869
Dy  0.550  0.418  0.131
Y  0.304  0.620  0.684
Y  0.935  0.620  0.316
Er  0.622  0.268  0.354
Er  0.915  0.268  0.646
Ni  0.166  0.928  0.238
Ni  0.689  0.928  0.762
Te  0.264  0.764  0.500
Te  0.664  0.664  0.000

Values from the calculation:
M_tot ... 0.00 μB/atom
E_tot ... -5.516 eV/atom
Calculated density ... 7.94 g/cm3



Entry from the Open Quantum Materials Database: a geometry-optimized Dy2YEr4Ni2Te2 structure (GGA-PBE).

Unit cell a=9.316 b=9.316 c=9.316 alpha=156.25 beta=66.89 gamma=118.50
Fractional positions:
Dy  0.185  0.000  0.185
Dy  0.815  0.000  0.815
Y  0.880  0.380  0.500
Er  0.166  0.798  0.368
Er  0.430  0.798  0.632
Er  0.502  0.649  0.853
Er  0.796  0.649  0.147
Ni  0.046  0.308  0.738
Ni  0.570  0.308  0.262
Te  0.145  0.145  0.000
Te  0.544  0.044  0.500

Values from the calculation:
M_tot ... 0.00 μB/atom
E_tot ... -5.348 eV/atom
Calculated density ... 8.52 g/cm3



Entry from the Open Quantum Materials Database: a geometry-optimized Dy4YEr2Ni2Te2 structure (GGA-PBE).

Unit cell a=9.362 b=9.362 c=9.362 alpha=156.26 beta=66.91 gamma=118.47
Fractional positions:
Dy  0.146  0.000  0.146
Dy  0.167  0.351  0.816
Dy  0.536  0.351  0.184
Dy  0.854  0.000  0.854
Y  0.232  0.732  0.500
Er  0.518  0.150  0.369
Er  0.781  0.150  0.631
Ni  0.398  0.660  0.739
Ni  0.921  0.660  0.261
Te  0.496  0.496  0.000
Te  0.896  0.396  0.500

Values from the calculation:
M_tot ... 0.00 μB/atom
E_tot ... -5.355 eV/atom
Calculated density ... 8.33 g/cm3



Entry from the Open Quantum Materials Database: a geometry-optimized Dy2YEr4Ni2Te2 structure (GGA-PBE).

Unit cell a=9.318 b=9.318 c=9.318 alpha=156.23 beta=66.87 gamma=118.53
Fractional positions:
Dy  0.147  0.000  0.147
Dy  0.853  0.000  0.853
Y  0.232  0.732  0.500
Er  0.166  0.351  0.815
Er  0.517  0.149  0.368
Er  0.536  0.351  0.185
Er  0.781  0.149  0.632
Ni  0.398  0.660  0.739
Ni  0.921  0.660  0.261
Te  0.496  0.496  0.000
Te  0.895  0.395  0.500

Values from the calculation:
M_tot ... 0.00 μB/atom
E_tot ... -5.354 eV/atom
Calculated density ... 8.50 g/cm3



Entry from the Open Quantum Materials Database: a geometry-optimized Dy3Y2Er2Ni2Te2 structure (GGA-PBE).

Unit cell a=9.361 b=9.361 c=9.361 alpha=156.26 beta=66.93 gamma=118.45
Fractional positions:
Dy  0.000  0.000  0.000
Dy  0.304  0.619  0.684
Dy  0.935  0.619  0.316
Y  0.622  0.268  0.354
Y  0.914  0.268  0.646
Er  0.286  0.418  0.868
Er  0.549  0.418  0.132
Ni  0.167  0.928  0.239
Ni  0.689  0.928  0.761
Te  0.264  0.764  0.500
Te  0.664  0.664  0.000

Values from the calculation:
M_tot ... 0.00 μB/atom
E_tot ... -5.522 eV/atom
Calculated density ... 7.91 g/cm3



Entry from the Open Quantum Materials Database: a geometry-optimized DyY4Er2Ni2Te2 structure (GGA-PBE).

Unit cell a=9.365 b=9.365 c=9.365 alpha=156.21 beta=66.96 gamma=118.45
Fractional positions:
Dy  0.000  0.000  0.000
Y  0.285  0.417  0.869
Y  0.548  0.417  0.131
Y  0.622  0.268  0.354
Y  0.915  0.268  0.646
Er  0.303  0.618  0.685
Er  0.933  0.618  0.315
Ni  0.167  0.929  0.238
Ni  0.692  0.929  0.762
Te  0.263  0.763  0.500
Te  0.664  0.664  0.000

Values from the calculation:
M_tot ... 0.00 μB/atom
E_tot ... -5.869 eV/atom
Calculated density ... 7.04 g/cm3



Repeat the second record exactly.
Entry from the Open Quantum Materials Database: a geometry-optimized Dy2YEr4Ni2Te2 structure (GGA-PBE).

Unit cell a=9.316 b=9.316 c=9.316 alpha=156.25 beta=66.89 gamma=118.50
Fractional positions:
Dy  0.185  0.000  0.185
Dy  0.815  0.000  0.815
Y  0.880  0.380  0.500
Er  0.166  0.798  0.368
Er  0.430  0.798  0.632
Er  0.502  0.649  0.853
Er  0.796  0.649  0.147
Ni  0.046  0.308  0.738
Ni  0.570  0.308  0.262
Te  0.145  0.145  0.000
Te  0.544  0.044  0.500

Values from the calculation:
M_tot ... 0.00 μB/atom
E_tot ... -5.348 eV/atom
Calculated density ... 8.52 g/cm3



Repeat the second record exactly.
Entry from the Open Quantum Materials Database: a geometry-optimized Dy2YEr4Ni2Te2 structure (GGA-PBE).

Unit cell a=9.316 b=9.316 c=9.316 alpha=156.25 beta=66.89 gamma=118.50
Fractional positions:
Dy  0.185  0.000  0.185
Dy  0.815  0.000  0.815
Y  0.880  0.380  0.500
Er  0.166  0.798  0.368
Er  0.430  0.798  0.632
Er  0.502  0.649  0.853
Er  0.796  0.649  0.147
Ni  0.046  0.308  0.738
Ni  0.570  0.308  0.262
Te  0.145  0.145  0.000
Te  0.544  0.044  0.500

Values from the calculation:
M_tot ... 0.00 μB/atom
E_tot ... -5.348 eV/atom
Calculated density ... 8.52 g/cm3



What did the third record say?
Entry from the Open Quantum Materials Database: a geometry-optimized Dy4YEr2Ni2Te2 structure (GGA-PBE).

Unit cell a=9.362 b=9.362 c=9.362 alpha=156.26 beta=66.91 gamma=118.47
Fractional positions:
Dy  0.146  0.000  0.146
Dy  0.167  0.351  0.816
Dy  0.536  0.351  0.184
Dy  0.854  0.000  0.854
Y  0.232  0.732  0.500
Er  0.518  0.150  0.369
Er  0.781  0.150  0.631
Ni  0.398  0.660  0.739
Ni  0.921  0.660  0.261
Te  0.496  0.496  0.000
Te  0.896  0.396  0.500

Values from the calculation:
M_tot ... 0.00 μB/atom
E_tot ... -5.355 eV/atom
Calculated density ... 8.33 g/cm3



Question: Look up the M_tot of the second one.
Answer: 0.00 μB/atom